Record 1
VASP calculation (PBE) on a relaxed structure of SrAs3Pb.

Cell and atoms, written as CIF:
```
data_SrAs3Pb
_chemical_formula_sum 'Sr1 As3 Pb1'
_cell_length_a 5.432
_cell_length_b 5.432
_cell_length_c 5.432
_cell_angle_alpha 90.00
_cell_angle_beta 90.00
_cell_angle_gamma 90.00
_symmetry_space_group_name_H-M 'P m -3 m'
_symmetry_Int_Tables_number 221
_symmetry_space_group_name_Hall '-P 4 2 3'
loop_
_atom_site_label
_atom_site_type_symbol
_atom_site_fract_x
_atom_site_fract_y
_atom_site_fract_z
Sr1 Sr 0.000 0.000 0.000
As1 As 0.000 0.500 0.500
Pb1 Pb 0.500 0.500 0.500
```

Properties
- total magnetic moment (μB/cell) = 0.00
- volume (Å³/atom) = 32.05
- polymorph energy (0 for the lowest one) (eV per atom) = 0.000
- density of states at the Fermi level (states/eV per cell) = 6.2
- E_tot (eV/atom) = -3.577
- ΔH_f (0 K) (eV per atom) = 0.291

Record 2
VASP calculation (PBE) on a relaxed structure of SrAsPb4.

Cell and atoms, written as CIF:
```
data_SrAsPb4
_chemical_formula_sum 'Sr4 As4 Pb16'
_cell_length_a 9.164
_cell_length_b 9.164
_cell_length_c 9.164
_cell_angle_alpha 90.00
_cell_angle_beta 90.00
_cell_angle_gamma 90.00
_symmetry_space_group_name_H-M 'F -4 3 m'
_symmetry_Int_Tables_number 216
_symmetry_space_group_name_Hall 'F -4 2 3'
loop_
_atom_site_label
_atom_site_type_symbol
_atom_site_fract_x
_atom_site_fract_y
_atom_site_fract_z
Sr1 Sr 0.000 0.000 0.000
As1 As 0.250 0.250 0.750
Pb1 Pb 0.125 0.125 0.375
```

Properties
- total magnetic moment (μB/cell) = 0.00
- volume (Å³/atom) = 32.07
- density of states at the Fermi level (states/eV per cell) = 20.4
- E_tot (eV/atom) = -3.501
- ΔH_f (0 K) (eV per atom) = 0.027

Record 3
VASP calculation (PBE) on a relaxed structure of SrAs2Pb2.

Cell and atoms, written as CIF:
```
data_SrAs2Pb2
_chemical_formula_sum 'Sr2 As4 Pb4'
_cell_length_a 8.538
_cell_length_b 8.538
_cell_length_c 3.931
_cell_angle_alpha 90.00
_cell_angle_beta 90.00
_cell_angle_gamma 90.00
_symmetry_space_group_name_H-M 'P 4/m b m'
_symmetry_Int_Tables_number 127
_symmetry_space_group_name_Hall '-P 4 2ab'
loop_
_atom_site_label
_atom_site_type_symbol
_atom_site_fract_x
_atom_site_fract_y
_atom_site_fract_z
Sr1 Sr 0.000 0.000 0.000
As1 As 0.185 0.315 0.500
Pb1 Pb 0.128 0.628 0.000
```

Properties
- total magnetic moment (μB/cell) = 0.00
- volume (Å³/atom) = 28.66
- density of states at the Fermi level (states/eV per cell) = 6.6
- E_tot (eV/atom) = -3.834
- ΔH_f (0 K) (eV per atom) = -0.155

Record 4
VASP calculation (PBE) on a relaxed structure of SrAs2Pb.

Cell and atoms, written as CIF:
```
data_SrAs2Pb
_chemical_formula_sum 'Sr1 As2 Pb1'
_cell_length_a 4.017
_cell_length_b 4.017
_cell_length_c 6.598
_cell_angle_alpha 90.00
_cell_angle_beta 90.00
_cell_angle_gamma 90.00
_symmetry_space_group_name_H-M 'P 4/m m m'
_symmetry_Int_Tables_number 123
_symmetry_space_group_name_Hall '-P 4 2'
loop_
_atom_site_label
_atom_site_type_symbol
_atom_site_fract_x
_atom_site_fract_y
_atom_site_fract_z
Sr1 Sr 0.000 0.000 0.000
As1 As 0.500 0.500 0.237
Pb1 Pb 0.000 0.000 0.500
```

Properties
- total magnetic moment (μB/cell) = 0.00
- volume (Å³/atom) = 26.62
- density of states at the Fermi level (states/eV per cell) = 2.1
- E_tot (eV/atom) = -4.030
- ΔH_f (0 K) (eV per atom) = -0.358

Record 5
VASP calculation (PBE) on a relaxed structure of SrAs2Pb.

Cell and atoms, written as CIF:
```
data_SrAs2Pb
_chemical_formula_sum 'Sr1 As2 Pb1'
_cell_length_a 4.114
_cell_length_b 4.415
_cell_length_c 6.702
_cell_angle_alpha 90.00
_cell_angle_beta 90.35
_cell_angle_gamma 90.00
_symmetry_space_group_name_H-M 'P 1 2/m 1'
_symmetry_Int_Tables_number 10
loop_
_symmetry_equiv_pos_as_xyz
'x,y,z'
'-x,-y,-z'
'-x,y,-z'
'x,-y,z'
loop_
_atom_site_label
_atom_site_type_symbol
_atom_site_fract_x
_atom_site_fract_y
_atom_site_fract_z
Sr1 Sr 0.000 0.000 0.000
As1 As 0.498 0.500 0.814
Pb1 Pb 0.500 0.000 0.500
```

Properties
- total magnetic moment (μB/cell) = 0.00
- volume (Å³/atom) = 30.43
- density of states at the Fermi level (states/eV per cell) = 1.5
- E_tot (eV/atom) = -4.135
- ΔH_f (0 K) (eV per atom) = -0.463

Record 6
VASP calculation (PBE) on a relaxed structure of SrAs2Pb.

Cell and atoms, written as CIF:
```
data_SrAs2Pb
_chemical_formula_sum 'Sr2 As4 Pb2'
_cell_length_a 7.359
_cell_length_b 4.257
_cell_length_c 7.840
_cell_angle_alpha 90.00
_cell_angle_beta 108.27
_cell_angle_gamma 90.00
_symmetry_space_group_name_H-M 'C 1 2/m 1'
_symmetry_Int_Tables_number 12
loop_
_symmetry_equiv_pos_as_xyz
'x,y,z'
'-x,-y,-z'
'-x,y,-z'
'x,-y,z'
'x+1/2,y+1/2,z'
'-x+1/2,-y+1/2,-z'
'-x+1/2,y+1/2,-z'
'x+1/2,-y+1/2,z'
loop_
_atom_site_label
_atom_site_type_symbol
_atom_site_fract_x
_atom_site_fract_y
_atom_site_fract_z
Sr1 Sr 0.000 0.000 0.000
As1 As 0.242 0.000 0.727
Pb1 Pb 0.000 0.500 0.500
```

Properties
- total magnetic moment (μB/cell) = 0.00
- volume (Å³/atom) = 29.15
- density of states at the Fermi level (states/eV per cell) = 6.2
- E_tot (eV/atom) = -3.998
- ΔH_f (0 K) (eV per atom) = -0.325

Record 7
VASP calculation (PBE) on a relaxed structure of SrAsPb2.

Cell and atoms, written as CIF:
```
data_SrAsPb2
_chemical_formula_sum 'Sr2 As2 Pb4'
_cell_length_a 11.153
_cell_length_b 4.089
_cell_length_c 6.117
_cell_angle_alpha 90.00
_cell_angle_beta 115.54
_cell_angle_gamma 90.00
_symmetry_space_group_name_H-M 'C 1 m 1'
_symmetry_Int_Tables_number 8
loop_
_symmetry_equiv_pos_as_xyz
'x,y,z'
'x,-y,z'
'x+1/2,y+1/2,z'
'x+1/2,-y+1/2,z'
loop_
_atom_site_label
_atom_site_type_symbol
_atom_site_fract_x
_atom_site_fract_y
_atom_site_fract_z
Sr1 Sr 0.000 0.000 0.000
As1 As 0.221 0.500 0.010
Pb1 Pb 0.183 0.000 0.635
Pb2 Pb 0.406 0.000 0.414
```

Properties
- total magnetic moment (μB/cell) = 0.00
- volume (Å³/atom) = 31.47
- density of states at the Fermi level (states/eV per cell) = 4.4
- E_tot (eV/atom) = -3.816
- ΔH_f (0 K) (eV per atom) = -0.379

Record 8
VASP calculation (PBE) on a relaxed structure of SrAs3Pb.

Cell and atoms, written as CIF:
```
data_SrAs3Pb
_chemical_formula_sum 'Sr1 As3 Pb1'
_cell_length_a 5.563
_cell_length_b 5.563
_cell_length_c 5.563
_cell_angle_alpha 90.00
_cell_angle_beta 90.00
_cell_angle_gamma 90.00
_symmetry_space_group_name_H-M 'P m -3 m'
_symmetry_Int_Tables_number 221
_symmetry_space_group_name_Hall '-P 4 2 3'
loop_
_atom_site_label
_atom_site_type_symbol
_atom_site_fract_x
_atom_site_fract_y
_atom_site_fract_z
Sr1 Sr 0.000 0.000 0.000
As1 As 0.000 0.000 0.500
Pb1 Pb 0.500 0.500 0.500
```

Properties
- total magnetic moment (μB/cell) = 0.00
- volume (Å³/atom) = 34.43
- polymorph energy (0 for the lowest one) (eV per atom) = 0.436
- density of states at the Fermi level (states/eV per cell) = 4.9
- E_tot (eV/atom) = -3.141
- ΔH_f (0 K) (eV per atom) = 0.727